Below is a geometry-optimized TcHgMo2 structure, with properties calculated at the GGA-PBE level.

Properties
DOS(E_F) = 7.78 states/eV/cell
ΔE_f = 0.46 eV/atom
Total moment = 0.00 μB per formula unit

Cell lengths 9.661, 3.023, 4.711 Å; angles 90.00, 104.48, 90.00 degrees
Fractional positions:
Tc1 0.000 0.000 0.000
Tc2 0.500 0.500 0.000
Hg1 0.000 0.500 0.500
Hg2 0.500 0.000 0.500
Mo1 0.239 0.500 0.219
Mo2 0.261 0.000 0.781
Mo3 0.739 0.000 0.219
Mo4 0.761 0.500 0.781

Below is a geometry-optimized LiNbSn2 structure, with properties calculated at the GGA-PBE level.

Properties
DOS(E_F) = 13.16 states/eV/cell
Excess energy over the best structure of this formula in the dataset = 0.183 eV/atom
ΔE_f = 0.07 eV/atom
Total moment = 1.78 μB per formula unit

Cell lengths 6.899, 6.899, 6.899 Å; angles 90.00, 90.00, 90.00 degrees
Fractional positions:
Li1 0.000 0.000 0.000
Li2 0.000 0.500 0.500
Li3 0.500 0.000 0.500
Li4 0.500 0.500 0.000
Nb1 0.000 0.000 0.500
Nb2 0.000 0.500 0.000
Nb3 0.500 0.000 0.000
Nb4 0.500 0.500 0.500
Sn1 0.250 0.250 0.250
Sn2 0.250 0.250 0.750
Sn3 0.250 0.750 0.250
Sn4 0.250 0.750 0.750
Sn5 0.750 0.250 0.250
Sn6 0.750 0.250 0.750
Sn7 0.750 0.750 0.250
Sn8 0.750 0.750 0.750

Below is a geometry-optimized CaP2SeCl structure, with properties calculated at the GGA-PBE level.

Properties
DOS(E_F) = 2.63 states/eV/cell
Excess energy over the best structure of this formula in the dataset = 0.000 eV/atom
Total moment = 0.00 μB per formula unit

Cell lengths 4.809, 4.809, 5.260 Å; angles 90.00, 90.00, 90.00 degrees
Fractional positions:
Ca1 0.000 0.000 0.000
P1 0.000 0.500 0.500
P2 0.500 0.000 0.500
Se1 0.500 0.500 0.500
Cl1 0.500 0.500 0.000

Below is a geometry-optimized Sr2SiAu2 structure, with properties calculated at the GGA-PBE level.

Properties
DOS(E_F) = 7.55 states/eV/cell
VASP energy = -3.5155 eV per atom
Total moment = 0.00 μB per formula unit

Cell lengths 7.669, 7.669, 4.462 Å; angles 90.00, 90.00, 90.00 degrees
Fractional positions:
Sr1 0.178 0.322 0.000
Sr2 0.322 0.822 0.000
Sr3 0.678 0.178 0.000
Sr4 0.822 0.678 0.000
Si1 0.000 0.000 0.500
Si2 0.500 0.500 0.500
Au1 0.132 0.632 0.500
Au2 0.368 0.132 0.500
Au3 0.632 0.868 0.500
Au4 0.868 0.368 0.500

Below is a geometry-optimized NaV4S8 structure, with properties calculated at the GGA-PBE level.

Properties
DOS(E_F) = 9.62 states/eV/cell
Excess energy over the best structure of this formula in the dataset = 0.063 eV/atom
Total moment = 4.97 μB per formula unit

Cell lengths 7.037, 7.037, 7.037 Å; angles 60.00, 60.00, 60.00 degrees
Fractional positions:
Na1 0.000 0.000 0.000
V1 0.162 0.613 0.613
V2 0.613 0.162 0.613
V3 0.613 0.613 0.162
V4 0.613 0.613 0.613
S1 0.376 0.376 0.376
S2 0.376 0.376 0.872
S3 0.376 0.872 0.376
S4 0.432 0.856 0.856
S5 0.856 0.432 0.856
S6 0.856 0.856 0.432
S7 0.856 0.856 0.856
S8 0.872 0.376 0.376

Below is a geometry-optimized MgSiPbSe4 structure, with properties calculated at the GGA-PBE level.

Properties
VASP energy = -4.1313 eV per atom
Total moment = 0.00 μB per formula unit

Cell lengths 6.470, 7.327, 8.101 Å; angles 90.00, 103.91, 90.00 degrees
Fractional positions:
Mg1 0.216 0.250 0.376
Mg2 0.784 0.750 0.624
Si1 0.276 0.750 0.681
Si2 0.724 0.250 0.319
Pb1 0.306 0.250 0.959
Pb2 0.694 0.750 0.041
Se1 0.040 0.750 0.426
Se2 0.113 0.750 0.902
Se3 0.480 0.011 0.271
Se4 0.480 0.489 0.271
Se5 0.520 0.511 0.729
Se6 0.520 0.989 0.729
Se7 0.887 0.250 0.098
Se8 0.960 0.250 0.574

Below is a geometry-optimized Zn3In structure, with properties calculated at the GGA-PBE level.

Properties
DOS(E_F) = 1.22 states/eV/cell
ΔE_f = 0.09 eV/atom
Total moment = 0.00 μB per formula unit

Cell lengths 3.004, 3.004, 7.993 Å; angles 90.00, 90.00, 90.00 degrees
Fractional positions:
Zn1 0.000 0.000 0.000
Zn2 0.500 0.500 0.214
Zn3 0.500 0.500 0.786
In1 0.000 0.000 0.500

Below is a geometry-optimized Tb2SmHo9 structure, with properties calculated at the GGA-PBE level.

Properties
DOS(E_F) = 17.45 states/eV/cell
Excess energy over the best structure of this formula in the dataset = 0.027 eV/atom
ΔE_f = 0.05 eV/atom
Total moment = 0.00 μB per formula unit

Cell lengths 11.185, 11.185, 3.495 Å; angles 90.00, 90.00, 120.00 degrees
Fractional positions:
Tb1 0.333 0.667 0.000
Tb2 0.667 0.333 0.000
Sm1 0.000 0.000 0.000
Ho1 0.000 0.500 0.000
Ho2 0.177 0.354 0.500
Ho3 0.177 0.823 0.500
Ho4 0.354 0.177 0.500
Ho5 0.500 0.000 0.000
Ho6 0.500 0.500 0.000
Ho7 0.646 0.823 0.500
Ho8 0.823 0.177 0.500
Ho9 0.823 0.646 0.500